# Tl2CrReTc | Alexandria via LeMat-Bulk | SCAN | single point on PBEsol structure
data_Tl2CrReTc
_symmetry_space_group_name_H-M 'P 1'
_symmetry_Int_Tables_number 1
_cell_length_a 4.474
_cell_length_b 5.200
_cell_length_c 5.200
_cell_angle_alpha 90.00
_cell_angle_beta 90.00
_cell_angle_gamma 90.00
loop_
_symmetry_equiv_pos_as_xyz
'x,y,z'
loop_
_atom_site_label
_atom_site_type_symbol
_atom_site_fract_x
_atom_site_fract_y
_atom_site_fract_z
Re1 Re 0.000 0.000 0.000
Tl1 Tl 0.000 0.000 0.500
Tl2 Tl 0.000 0.500 0.000
Tc1 Tc 0.500 0.500 0.500
Cr1 Cr 0.500 0.000 0.000
# ΔE_f (eV/atom): 1.62
# Symmetry: P4/mmm
# Total magnetization (μB/f.u.): 7.19

=====

# CrReTe2 | Alexandria via LeMat-Bulk | SCAN | single point on PBEsol structure
data_CrReTe2
_symmetry_space_group_name_H-M 'P 1'
_symmetry_Int_Tables_number 1
_cell_length_a 4.567
_cell_length_b 4.567
_cell_length_c 4.567
_cell_angle_alpha 60.00
_cell_angle_beta 60.00
_cell_angle_gamma 60.00
loop_
_symmetry_equiv_pos_as_xyz
'x,y,z'
loop_
_atom_site_label
_atom_site_type_symbol
_atom_site_fract_x
_atom_site_fract_y
_atom_site_fract_z
Cr1 Cr 0.000 0.000 0.000
Re1 Re 0.500 0.500 0.500
Te1 Te 0.250 0.250 0.250
Te2 Te 0.750 0.750 0.750
# E_form (uncorrected) (eV/atom): 0.692
# Symmetry: Fm-3m
# Energy relative to the lowest polymorph listed for this composition (meV/atom): 427
# Total magnetization (μB/f.u.): 0.79

=====

# CrReTe2 | Alexandria via LeMat-Bulk | SCAN | single point on PBEsol structure
data_CrReTe2
_symmetry_space_group_name_H-M 'P 1'
_symmetry_Int_Tables_number 1
_cell_length_a 4.036
_cell_length_b 4.036
_cell_length_c 6.588
_cell_angle_alpha 107.88
_cell_angle_beta 90.00
_cell_angle_gamma 120.00
loop_
_symmetry_equiv_pos_as_xyz
'x,y,z'
loop_
_atom_site_label
_atom_site_type_symbol
_atom_site_fract_x
_atom_site_fract_y
_atom_site_fract_z
Cr1 Cr 0.470 0.941 0.411
Re1 Re 0.782 0.565 0.347
Te1 Te 0.031 0.062 0.094
Te2 Te 0.216 0.432 0.648
# E_form (uncorrected) (eV/atom): 0.265
# Symmetry: R3m
# Energy relative to the lowest polymorph listed for this composition (meV/atom): 0
# Total magnetization (μB/f.u.): 0.00

=====

# V2CrRe | Alexandria via LeMat-Bulk | SCAN | single point on PBEsol structure
data_V2CrRe
_symmetry_space_group_name_H-M 'P 1'
_symmetry_Int_Tables_number 1
_cell_length_a 4.170
_cell_length_b 4.170
_cell_length_c 4.170
_cell_angle_alpha 60.00
_cell_angle_beta 60.00
_cell_angle_gamma 60.00
loop_
_symmetry_equiv_pos_as_xyz
'x,y,z'
loop_
_atom_site_label
_atom_site_type_symbol
_atom_site_fract_x
_atom_site_fract_y
_atom_site_fract_z
Re1 Re 0.000 0.000 0.000
Cr1 Cr 0.500 0.500 0.500
V1 V 0.750 0.750 0.750
V2 V 0.250 0.250 0.250
# ΔE_f (eV/atom): -0.35
# Symmetry: Fm-3m
# Total magnetization (μB/f.u.): 0.31

=====

# CrReW | Alexandria via LeMat-Bulk | SCAN | single point on PBEsol structure
data_CrReW
_symmetry_space_group_name_H-M 'P 1'
_symmetry_Int_Tables_number 1
_cell_length_a 2.660
_cell_length_b 4.269
_cell_length_c 4.269
_cell_angle_alpha 120.00
_cell_angle_beta 90.00
_cell_angle_gamma 90.00
loop_
_symmetry_equiv_pos_as_xyz
'x,y,z'
loop_
_atom_site_label
_atom_site_type_symbol
_atom_site_fract_x
_atom_site_fract_y
_atom_site_fract_z
Re1 Re 0.670 0.333 0.667
W1 W 0.324 0.667 0.333
Cr1 Cr 0.006 0.000 0.000
# ΔE_f (eV/atom): 0.03
# Symmetry: P3m1
# Energy relative to the lowest polymorph listed for this composition (meV/atom): 24
# Total magnetization (μB/f.u.): 0.00

=====

# CrRe2W | Alexandria via LeMat-Bulk | SCAN | single point on PBEsol structure
data_CrRe2W
_symmetry_space_group_name_H-M 'P 1'
_symmetry_Int_Tables_number 1
_cell_length_a 2.673
_cell_length_b 4.266
_cell_length_c 5.067
_cell_angle_alpha 90.00
_cell_angle_beta 100.80
_cell_angle_gamma 90.00
loop_
_symmetry_equiv_pos_as_xyz
'x,y,z'
loop_
_atom_site_label
_atom_site_type_symbol
_atom_site_fract_x
_atom_site_fract_y
_atom_site_fract_z
Cr1 Cr 0.275 0.500 0.751
Re1 Re 0.012 0.000 0.994
Re2 Re 0.726 0.500 0.248
W1 W 0.487 0.000 0.508
# ΔE_f (eV/atom): 0.06
# Symmetry: Pm
# Total magnetization (μB/f.u.): 0.00

=====

# CrRe2W | Alexandria via LeMat-Bulk | SCAN | single point on PBEsol structure
data_CrRe2W
_symmetry_space_group_name_H-M 'P 1'
_symmetry_Int_Tables_number 1
_cell_length_a 3.049
_cell_length_b 4.316
_cell_length_c 5.040
_cell_angle_alpha 115.35
_cell_angle_beta 107.61
_cell_angle_gamma 90.00
loop_
_symmetry_equiv_pos_as_xyz
'x,y,z'
loop_
_atom_site_label
_atom_site_type_symbol
_atom_site_fract_x
_atom_site_fract_y
_atom_site_fract_z
Re1 Re 0.993 0.993 0.987
Re2 Re 0.755 0.255 0.510
W1 W 0.509 0.509 0.018
Cr1 Cr 0.243 0.743 0.485
# ΔE_f (eV/atom): 0.02
# Symmetry: Imm2
# Total magnetization (μB/f.u.): 0.00

=====

# CrRe2W | Alexandria via LeMat-Bulk | SCAN | single point on PBEsol structure
data_CrRe2W
_symmetry_space_group_name_H-M 'P 1'
_symmetry_Int_Tables_number 1
_cell_length_a 2.724
_cell_length_b 3.860
_cell_length_c 5.425
_cell_angle_alpha 90.00
_cell_angle_beta 90.00
_cell_angle_gamma 90.00
loop_
_symmetry_equiv_pos_as_xyz
'x,y,z'
loop_
_atom_site_label
_atom_site_type_symbol
_atom_site_fract_x
_atom_site_fract_y
_atom_site_fract_z
Cr1 Cr 0.500 0.500 0.755
Re1 Re 0.000 0.000 0.994
Re2 Re 0.500 0.500 0.244
W1 W 0.000 0.000 0.507
# ΔE_f (eV/atom): 0.24
# Symmetry: Pmm2
# Total magnetization (μB/f.u.): 0.00

=====

# Cr4ReW | Alexandria via LeMat-Bulk | SCAN | single point on PBEsol structure
data_Cr4ReW
_symmetry_space_group_name_H-M 'P 1'
_symmetry_Int_Tables_number 1
_cell_length_a 4.727
_cell_length_b 4.727
_cell_length_c 4.727
_cell_angle_alpha 60.00
_cell_angle_beta 60.00
_cell_angle_gamma 60.00
loop_
_symmetry_equiv_pos_as_xyz
'x,y,z'
loop_
_atom_site_label
_atom_site_type_symbol
_atom_site_fract_x
_atom_site_fract_y
_atom_site_fract_z
Cr1 Cr 0.374 0.374 0.374
Cr2 Cr 0.374 0.374 0.877
Cr3 Cr 0.877 0.374 0.374
Cr4 Cr 0.374 0.877 0.374
Re1 Re 0.750 0.750 0.750
W1 W 0.000 0.000 0.000
# ΔE_f (eV/atom): 0.07
# Symmetry: F-43m
# Total magnetization (μB/f.u.): 0.00

=====

# CrReW | Alexandria via LeMat-Bulk | SCAN | single point on PBEsol structure
data_CrReW
_symmetry_space_group_name_H-M 'P 1'
_symmetry_Int_Tables_number 1
_cell_length_a 3.031
_cell_length_b 3.031
_cell_length_c 5.020
_cell_angle_alpha 107.58
_cell_angle_beta 107.58
_cell_angle_gamma 90.00
loop_
_symmetry_equiv_pos_as_xyz
'x,y,z'
loop_
_atom_site_label
_atom_site_type_symbol
_atom_site_fract_x
_atom_site_fract_y
_atom_site_fract_z
Re1 Re 0.663 0.663 0.327
W1 W 0.339 0.339 0.678
Cr1 Cr 0.998 0.998 0.995
# ΔE_f (eV/atom): 0.01
# Symmetry: I4mm
# Energy relative to the lowest polymorph listed for this composition (meV/atom): 0
# Total magnetization (μB/f.u.): 0.00

=====

# YCrRe | Alexandria via LeMat-Bulk | SCAN | single point on PBEsol structure
data_YCrRe
_symmetry_space_group_name_H-M 'P 1'
_symmetry_Int_Tables_number 1
_cell_length_a 3.065
_cell_length_b 3.065
_cell_length_c 5.895
_cell_angle_alpha 105.07
_cell_angle_beta 105.07
_cell_angle_gamma 90.00
loop_
_symmetry_equiv_pos_as_xyz
'x,y,z'
loop_
_atom_site_label
_atom_site_type_symbol
_atom_site_fract_x
_atom_site_fract_y
_atom_site_fract_z
Cr1 Cr 0.030 0.030 0.059
Re1 Re 0.636 0.636 0.272
Y1 Y 0.334 0.334 0.669
# ΔE_f (eV/atom): 0.21
# Symmetry: I4mm
# Total magnetization (μB/f.u.): 0.00

=====

# YCrRe2 | Alexandria via LeMat-Bulk | SCAN | single point on PBEsol structure
data_YCrRe2
_symmetry_space_group_name_H-M 'P 1'
_symmetry_Int_Tables_number 1
_cell_length_a 4.445
_cell_length_b 4.445
_cell_length_c 4.445
_cell_angle_alpha 60.00
_cell_angle_beta 60.00
_cell_angle_gamma 60.00
loop_
_symmetry_equiv_pos_as_xyz
'x,y,z'
loop_
_atom_site_label
_atom_site_type_symbol
_atom_site_fract_x
_atom_site_fract_y
_atom_site_fract_z
Cr1 Cr 0.500 0.500 0.500
Re1 Re 0.250 0.250 0.250
Re2 Re 0.750 0.750 0.750
Y1 Y 0.000 0.000 0.000
# ΔE_f (eV/atom): 0.48
# Symmetry: Fm-3m
# Energy relative to the lowest polymorph listed for this composition (meV/atom): 286
# Total magnetization (μB/f.u.): 0.00

=====

# YCrRe2 | Alexandria via LeMat-Bulk | SCAN | single point on PBEsol structure
data_YCrRe2
_symmetry_space_group_name_H-M 'P 1'
_symmetry_Int_Tables_number 1
_cell_length_a 3.024
_cell_length_b 3.024
_cell_length_c 7.127
_cell_angle_alpha 90.00
_cell_angle_beta 90.00
_cell_angle_gamma 90.00
loop_
_symmetry_equiv_pos_as_xyz
'x,y,z'
loop_
_atom_site_label
_atom_site_type_symbol
_atom_site_fract_x
_atom_site_fract_y
_atom_site_fract_z
Cr1 Cr 0.500 0.500 0.500
Re1 Re 0.000 0.000 0.693
Re2 Re 0.000 0.000 0.307
Y1 Y 0.500 0.500 0.000
# ΔE_f (eV/atom): 0.20
# Symmetry: P4/mmm
# Energy relative to the lowest polymorph listed for this composition (meV/atom): 0
# Total magnetization (μB/f.u.): 0.00

=====

# Zr2CrRe | Alexandria via LeMat-Bulk | SCAN | single point on PBEsol structure
data_Zr2CrRe
_symmetry_space_group_name_H-M 'P 1'
_symmetry_Int_Tables_number 1
_cell_length_a 2.869
_cell_length_b 4.365
_cell_length_c 5.352
_cell_angle_alpha 90.00
_cell_angle_beta 98.15
_cell_angle_gamma 90.00
loop_
_symmetry_equiv_pos_as_xyz
'x,y,z'
loop_
_atom_site_label
_atom_site_type_symbol
_atom_site_fract_x
_atom_site_fract_y
_atom_site_fract_z
Cr1 Cr 0.500 0.500 0.000
Re1 Re 0.000 0.500 0.500
Zr1 Zr 0.745 0.000 0.753
Zr2 Zr 0.255 0.000 0.247
# ΔE_f (eV/atom): 0.19
# Symmetry: P2/m
# Energy relative to the lowest polymorph listed for this composition (meV/atom): 80
# Total magnetization (μB/f.u.): 0.00

=====

# ZrCrRe | Alexandria via LeMat-Bulk | SCAN | single point on PBEsol structure
data_ZrCrRe
_symmetry_space_group_name_H-M 'P 1'
_symmetry_Int_Tables_number 1
_cell_length_a 2.818
_cell_length_b 4.342
_cell_length_c 4.342
_cell_angle_alpha 120.00
_cell_angle_beta 90.00
_cell_angle_gamma 90.00
loop_
_symmetry_equiv_pos_as_xyz
'x,y,z'
loop_
_atom_site_label
_atom_site_type_symbol
_atom_site_fract_x
_atom_site_fract_y
_atom_site_fract_z
Cr1 Cr 0.986 0.000 0.000
Re1 Re 0.686 0.333 0.667
Zr1 Zr 0.328 0.667 0.333
# ΔE_f (eV/atom): 0.09
# Symmetry: P3m1
# Total magnetization (μB/f.u.): 0.00

=====

# Zr2CrRe | Alexandria via LeMat-Bulk | SCAN | single point on PBEsol structure
data_Zr2CrRe
_symmetry_space_group_name_H-M 'P 1'
_symmetry_Int_Tables_number 1
_cell_length_a 4.521
_cell_length_b 4.521
_cell_length_c 4.521
_cell_angle_alpha 60.00
_cell_angle_beta 60.00
_cell_angle_gamma 60.00
loop_
_symmetry_equiv_pos_as_xyz
'x,y,z'
loop_
_atom_site_label
_atom_site_type_symbol
_atom_site_fract_x
_atom_site_fract_y
_atom_site_fract_z
Cr1 Cr 0.500 0.500 0.500
Re1 Re 0.750 0.750 0.750
Zr1 Zr 0.000 0.000 0.000
Zr2 Zr 0.250 0.250 0.250
# ΔE_f (eV/atom): 0.11
# Symmetry: F-43m
# Energy relative to the lowest polymorph listed for this composition (meV/atom): 0
# Total magnetization (μB/f.u.): 0.00

=====

# Cr3Rh4 | Alexandria via LeMat-Bulk | SCAN | single point on PBEsol structure
data_Cr3Rh4
_symmetry_space_group_name_H-M 'P 1'
_symmetry_Int_Tables_number 1
_cell_length_a 4.593
_cell_length_b 4.593
_cell_length_c 4.819
_cell_angle_alpha 90.00
_cell_angle_beta 90.00
_cell_angle_gamma 120.00
loop_
_symmetry_equiv_pos_as_xyz
'x,y,z'
loop_
_atom_site_label
_atom_site_type_symbol
_atom_site_fract_x
_atom_site_fract_y
_atom_site_fract_z
Cr1 Cr 0.000 0.500 0.000
Cr2 Cr 0.500 0.000 0.000
Cr3 Cr 0.500 0.500 0.000
Rh1 Rh 0.000 0.000 0.746
Rh2 Rh 0.000 0.000 0.254
Rh3 Rh 0.333 0.667 0.500
Rh4 Rh 0.667 0.333 0.500
# ΔE_f (eV/atom): 0.00
# Symmetry: P6/mmm
# Energy relative to the lowest polymorph listed for this composition (meV/atom): 18
# Total magnetization (μB/f.u.): 0.00

=====

# Cr3Rh4 | Alexandria via LeMat-Bulk | SCAN | single point on PBEsol structure
data_Cr3Rh4
_symmetry_space_group_name_H-M 'P 1'
_symmetry_Int_Tables_number 1
_cell_length_a 2.626
_cell_length_b 2.626
_cell_length_c 12.893
_cell_angle_alpha 95.84
_cell_angle_beta 95.84
_cell_angle_gamma 90.00
loop_
_symmetry_equiv_pos_as_xyz
'x,y,z'
loop_
_atom_site_label
_atom_site_type_symbol
_atom_site_fract_x
_atom_site_fract_y
_atom_site_fract_z
Cr1 Cr 0.000 0.000 0.000
Cr2 Cr 0.285 0.285 0.570
Cr3 Cr 0.715 0.715 0.430
Rh1 Rh 0.148 0.148 0.296
Rh2 Rh 0.432 0.432 0.865
Rh3 Rh 0.568 0.568 0.135
Rh4 Rh 0.852 0.852 0.704
# ΔE_f (eV/atom): -0.02
# Symmetry: I4/mmm
# Energy relative to the lowest polymorph listed for this composition (meV/atom): 0
# Total magnetization (μB/f.u.): 0.00

=====

# Cr5Rh | Alexandria via LeMat-Bulk | SCAN | single point on PBEsol structure
data_Cr5Rh
_symmetry_space_group_name_H-M 'P 1'
_symmetry_Int_Tables_number 1
_cell_length_a 2.823
_cell_length_b 2.823
_cell_length_c 8.797
_cell_angle_alpha 90.00
_cell_angle_beta 90.00
_cell_angle_gamma 90.00
loop_
_symmetry_equiv_pos_as_xyz
'x,y,z'
loop_
_atom_site_label
_atom_site_type_symbol
_atom_site_fract_x
_atom_site_fract_y
_atom_site_fract_z
Cr1 Cr 0.000 0.000 0.811
Cr2 Cr 0.000 0.000 0.189
Cr3 Cr 0.500 0.500 0.660
Cr4 Cr 0.500 0.500 0.340
Cr5 Cr 0.000 0.000 0.500
Rh1 Rh 0.500 0.500 0.000
# ΔE_f (eV/atom): -0.10
# Symmetry: P4/mmm
# Total magnetization (μB/f.u.): 2.79

=====

# CrRuRh | Alexandria via LeMat-Bulk | SCAN | single point on PBEsol structure
data_CrRuRh
_symmetry_space_group_name_H-M 'P 1'
_symmetry_Int_Tables_number 1
_cell_length_a 2.640
_cell_length_b 2.640
_cell_length_c 5.783
_cell_angle_alpha 103.19
_cell_angle_beta 103.19
_cell_angle_gamma 90.00
loop_
_symmetry_equiv_pos_as_xyz
'x,y,z'
loop_
_atom_site_label
_atom_site_type_symbol
_atom_site_fract_x
_atom_site_fract_y
_atom_site_fract_z
Ru1 Ru 0.342 0.342 0.683
Rh1 Rh 0.660 0.660 0.319
Cr1 Cr 0.999 0.999 0.997
# ΔE_f (eV/atom): 0.04
# Symmetry: I4mm
# Energy relative to the lowest polymorph listed for this composition (meV/atom): 0
# Total magnetization (μB/f.u.): 0.01